# 1
## SrBiO2F (GGA-PBE)

Data for SrBiO2F after structural relaxation.

Cell lengths 4.6883, 4.6883, 4.3774 Å; angles 90.00, 90.00, 90.00 degrees
Space group P4/mmm (No. 123)
Asymmetric unit:
Sr (0.0000, 0.0000, 0.0000) [1 per cell]
Bi (0.5000, 0.5000, 0.5000) [1 per cell]
O (0.0000, 0.5000, 0.0000) [2 per cell]
F (0.0000, 0.0000, 0.5000) [1 per cell]

Results
formation energy from raw total energies = -1.236 eV/atom
calculated volume = 96.22 Å³/f.u.
N(E_F) = 3.239 states/eV per cell

***

# 2
## SrBiOF2 (GGA-PBE)

Data for SrBiOF2 after structural relaxation.

Cell lengths 4.7768, 4.7768, 4.5491 Å; angles 90.00, 90.00, 90.00 degrees
Space group P4/mmm (No. 123)
Asymmetric unit:
Sr (0.0000, 0.0000, 0.0000) [1 per cell]
Bi (0.5000, 0.5000, 0.5000) [1 per cell]
O (0.5000, 0.5000, 0.0000) [1 per cell]
F (0.0000, 0.5000, 0.5000) [2 per cell]

Results
formation energy from raw total energies = -1.894 eV/atom
calculated volume = 103.80 Å³/f.u.
N(E_F) = 2.357 states/eV per cell
distance to the lowest polymorph of the same formula = 0.00 eV per formula unit

***

# 3
## SrBiO2F (GGA-PBE)

Data for SrBiO2F after structural relaxation.

Cell lengths 4.5739, 4.5739, 4.5269 Å; angles 90.00, 90.00, 90.00 degrees
Space group P4/mmm (No. 123)
Asymmetric unit:
Sr (0.0000, 0.0000, 0.0000) [1 per cell]
Bi (0.5000, 0.5000, 0.5000) [1 per cell]
O (0.0000, 0.5000, 0.5000) [2 per cell]
F (0.5000, 0.5000, 0.0000) [1 per cell]

Results
formation energy from raw total energies = -1.906 eV/atom
calculated volume = 94.71 Å³/f.u.
N(E_F) = 0.268 states/eV per cell

***

# 4
## Sr2Ti2Bi2OF2 (GGA-PBE)

Data for Sr2Ti2Bi2OF2 after structural relaxation.

Cell lengths 4.1253, 4.1253, 22.0471 Å; angles 90.00, 90.00, 90.00 degrees
Space group I4/mmm (No. 139)
Asymmetric unit:
Sr (0.0000, 0.0000, 0.1854) [4 per cell]
Ti (0.0000, 0.5000, 0.0000) [4 per cell]
Bi (0.0000, 0.0000, 0.4029) [4 per cell]
O (0.0000, 0.0000, 0.0000) [2 per cell]
F (0.0000, 0.5000, 0.2500) [4 per cell]

Results
formation energy from raw total energies = -2.125 eV/atom
calculated volume = 187.60 Å³/f.u.
N(E_F) = 8.910 states/eV per cell

***

# 5
## Ta2BiO6F (GGA-PBE)

Data for Ta2BiO6F after structural relaxation.

Cell lengths 7.3650, 7.5757, 10.5224 Å; angles 90.00, 90.00, 90.00 degrees
Space group Imma (No. 74)
Asymmetric unit:
Ta (0.0000, 0.0000, 0.0000) [4 per cell]
Ta (0.2500, 0.2500, 0.2500) [4 per cell]
Bi (0.0000, 0.0000, 0.5000) [4 per cell]
O (0.0000, 0.2500, 0.3223) [4 per cell]
O (0.0000, 0.2500, 0.9479) [4 per cell]
O (0.2027, 0.0641, 0.1206) [16 per cell]
F (0.0000, 0.2500, 0.6150) [4 per cell]

Results
formation energy from raw total energies = -2.501 eV/atom
calculated volume = 146.78 Å³/f.u.
N(E_F) = 0.000 states/eV per cell

***

# 6
## TaBiO2F (GGA-PBE)

Data for TaBiO2F after structural relaxation.

Cell lengths 4.0395, 4.0395, 4.4959 Å; angles 90.00, 90.00, 90.00 degrees
Space group P4/mmm (No. 123)
Asymmetric unit:
Ta (0.0000, 0.0000, 0.0000) [1 per cell]
Bi (0.5000, 0.5000, 0.5000) [1 per cell]
O (0.0000, 0.5000, 0.0000) [2 per cell]
F (0.0000, 0.0000, 0.5000) [1 per cell]

Results
formation energy from raw total energies = -1.580 eV/atom
calculated volume = 73.36 Å³/f.u.
N(E_F) = 2.408 states/eV per cell

***

# 7
## TaBiO2F (GGA-PBE)

Data for TaBiO2F after structural relaxation.

Cell lengths 4.5277, 4.5277, 4.3577 Å; angles 90.00, 90.00, 90.00 degrees
Space group P4/mmm (No. 123)
Asymmetric unit:
Ta (0.0000, 0.0000, 0.0000) [1 per cell]
Bi (0.5000, 0.5000, 0.5000) [1 per cell]
O (0.0000, 0.5000, 0.5000) [2 per cell]
F (0.5000, 0.5000, 0.0000) [1 per cell]

Results
formation energy from raw total energies = -0.007 eV/atom
calculated volume = 89.33 Å³/f.u.
N(E_F) = 4.683 states/eV per cell

***

# 8
## TbBi2O4F (GGA-PBE)

Data for TbBi2O4F after structural relaxation.

Cell lengths 3.8531, 3.8531, 8.6290 Å; angles 90.00, 90.00, 90.00 degrees
Space group P4/mmm (No. 123)
Asymmetric unit:
Tb (0.0000, 0.0000, 0.0000) [1 per cell]
Bi (0.5000, 0.5000, 0.2952) [2 per cell]
O (0.0000, 0.5000, 0.1629) [4 per cell]
F (0.0000, 0.0000, 0.5000) [1 per cell]

Results
formation energy from raw total energies = -2.179 eV/atom
calculated volume = 128.11 Å³/f.u.

***

Computed total magnetic moment, in the same sequence as the records: 0.000 0.104 0.000 0.001 0.000 0.000 0.639 0.000 μB/atom.
Computed raw total energy, in the same sequence as the records: -4.706 -4.747 -5.376 -6.082 -8.422 -7.085 -5.511 -6.441 eV/atom.